DFT (PBE) results for a relaxed LiAl2In crystal.

Computed properties:
The energy of formation from the pure elements comes out at -9 meV/atom. As for the volume: 19.15 Å³ per atom. Its energy is -3.043 eV per atom.

The structure in CIF format:
```
data_LiAl2In
_chemical_formula_sum 'Li2 Al4 In2'
_space_group_name_H-M_alt 'C 1 m 1'
_space_group_IT_number 8
_space_group_name_Hall 'C -2y'
_cell_length_a 9.130
_cell_length_b 3.100
_cell_length_c 5.515
_cell_angle_alpha 90.00
_cell_angle_beta 101.06
_cell_angle_gamma 90.00
loop_
_atom_site_label
_atom_site_type_symbol
_atom_site_fract_x
_atom_site_fract_y
_atom_site_fract_z
_atom_site_occupancy
Li1 Li 0.000 0.000 0.000 1
Al1 Al 0.007 0.500 0.543 1
Al2 Al 0.251 0.000 0.760 1
In1 In 0.255 0.500 0.251 1
```

***

DFT (PBE) results for a relaxed NdDy4Th4 crystal.

Computed properties:
The energy of formation from the pure elements comes out at 39 meV/atom. As for the volume: 32.23 Å³ per atom. Its energy is -5.833 eV per atom.

The structure in CIF format:
```
data_NdDy4Th4
_chemical_formula_sum 'Nd2 Dy8 Th8'
_space_group_name_H-M_alt 'I 4/m m m'
_space_group_IT_number 139
_space_group_name_Hall '-I 4 2'
_cell_length_a 10.714
_cell_length_b 10.714
_cell_length_c 5.054
_cell_angle_alpha 90.00
_cell_angle_beta 90.00
_cell_angle_gamma 90.00
loop_
_atom_site_label
_atom_site_type_symbol
_atom_site_fract_x
_atom_site_fract_y
_atom_site_fract_z
_atom_site_occupancy
Nd1 Nd 0.000 0.000 0.000 1
Dy1 Dy 0.170 0.170 0.500 1
Th1 Th 0.000 0.336 0.000 1
```

***

DFT (PBE) results for a relaxed NbTeHPd crystal.

Computed properties:
As for the volume: 15.70 Å³ per atom. Its energy is -5.549 eV per atom.

The structure in CIF format:
```
data_NbTeHPd
_chemical_formula_sum 'Nb2 Te2 H2 Pd2'
_space_group_name_H-M_alt 'I m m 2'
_space_group_IT_number 44
_space_group_name_Hall 'I 2 -2'
_cell_length_a 3.442
_cell_length_b 4.668
_cell_length_c 7.817
_cell_angle_alpha 90.00
_cell_angle_beta 90.00
_cell_angle_gamma 90.00
loop_
_atom_site_label
_atom_site_type_symbol
_atom_site_fract_x
_atom_site_fract_y
_atom_site_fract_z
_atom_site_occupancy
Nb1 Nb 0.000 0.000 0.000 1
Te1 Te 0.000 0.500 0.207 1
H1 H 0.000 0.500 0.603 1
Pd1 Pd 0.000 0.000 0.397 1
```

***

DFT (PBE) results for a relaxed YGe2Pb2 crystal.

Computed properties:
The energy of formation from the pure elements comes out at -153 meV/atom. As for the volume: 26.03 Å³ per atom. Its energy is -4.776 eV per atom.

The structure in CIF format:
```
data_YGe2Pb2
_chemical_formula_sum 'Y2 Ge4 Pb4'
_space_group_name_H-M_alt 'P 4/m b m'
_space_group_IT_number 127
_space_group_name_Hall '-P 4 2ab'
_cell_length_a 7.563
_cell_length_b 7.563
_cell_length_c 4.551
_cell_angle_alpha 90.00
_cell_angle_beta 90.00
_cell_angle_gamma 90.00
loop_
_atom_site_label
_atom_site_type_symbol
_atom_site_fract_x
_atom_site_fract_y
_atom_site_fract_z
_atom_site_occupancy
Y1 Y 0.000 0.000 0.000 1
Ge1 Ge 0.120 0.380 0.000 1
Pb1 Pb 0.177 0.677 0.500 1
```